Entry 1:
YScTc2 | GGA-PBE | optimized geometry

Cell and atoms, written as POSCAR:
```
YScTc2
1.0
7.428 0.000 0.000
0.000 7.428 0.000
3.714 3.714 2.856
Y Sc Tc
2 2 4
Direct
0.000 0.000 0.000
0.750 0.250 0.500
0.500 0.500 0.000
0.250 0.750 0.500
0.609 0.125 0.250
0.141 0.625 0.250
0.375 0.391 0.750
0.875 0.859 0.750
```

Mass density: 6.95 g/cm3
ΔH_f (0 K): 579 meV/atom
ΔE to the lowest computed polymorph: 2.52 eV per formula unit
Magnetic moment: 0.00 Bohr magnetons per cell

---

Entry 2:
ZnTc3Se | GGA-PBE | optimized geometry

Cell and atoms, written as POSCAR:
```
ZnTc3Se
1.0
4.541 0.000 0.000
0.000 4.541 0.000
0.000 0.000 4.541
Zn Tc Se
1 3 1
Direct
0.500 0.500 0.500
0.000 0.500 0.000
0.000 0.000 0.500
0.500 0.000 0.000
0.000 0.000 0.000
```

Formation energy from raw total energies: 1.06 eV per atom
Mass density: 7.77 g/cm3
ΔE to the lowest computed polymorph: 0.00 eV per formula unit
Magnetic moment: 2.14 Bohr magnetons per cell

---

Entry 3:
Mn3Fe9Co | GGA-PBE | optimized geometry

Cell and atoms, written as POSCAR:
```
Mn3Fe9Co
1.0
2.359 0.577 0.273
1.980 9.048 0.399
-6.304 -1.443 13.847
Mn Fe Co
6 18 2
Direct
0.078 0.640 0.707
0.578 0.140 0.207
0.039 0.904 0.744
0.539 0.404 0.244
0.004 0.169 0.782
0.504 0.669 0.282
0.425 0.212 0.360
0.924 0.712 0.860
0.847 0.251 0.936
0.348 0.751 0.436
0.161 0.096 0.629
0.661 0.596 0.129
0.771 0.788 0.014
0.271 0.288 0.514
0.462 0.943 0.321
0.961 0.443 0.821
0.192 0.828 0.591
0.692 0.328 0.091
0.387 0.481 0.398
0.886 0.981 0.898
0.121 0.366 0.668
0.621 0.866 0.168
0.736 0.059 0.053
0.236 0.559 0.553
0.810 0.520 0.975
0.310 0.020 0.475
```

Mass density: 8.19 g/cm3
ΔH_f (0 K): 58 meV/atom
Magnetic moment: 49.80 Bohr magnetons per cell

---

Entry 4:
Tl3AsSe | GGA-PBE | optimized geometry

Cell and atoms, written as POSCAR:
```
Tl3AsSe
1.0
-0.674 -2.692 -2.780
9.093 -1.911 2.373
-2.507 -5.661 6.085
Tl As Se
6 2 2
Direct
0.071 0.177 0.378
0.432 0.900 0.678
0.612 0.254 0.743
0.972 0.978 0.044
0.229 0.494 0.048
0.815 0.660 0.374
0.240 0.512 0.652
0.804 0.641 0.769
0.439 0.912 0.342
0.605 0.243 0.080
```

Formation energy from raw total energies: -0.18 eV per atom
Mass density: 7.96 g/cm3
ΔE to the lowest computed polymorph: 0.03 eV per formula unit
Magnetic moment: 0.00 Bohr magnetons per cell

---

Entry 5:
TmZrNiPd | GGA-PBE | optimized geometry

Cell and atoms, written as POSCAR:
```
TmZrNiPd
1.0
-1.116 4.579 -0.422
-4.472 1.274 -0.878
-2.556 2.132 3.363
Ni Tm Zr Pd
1 1 1 1
Direct
0.000 0.000 0.000
0.750 0.750 0.750
0.250 0.250 0.250
0.500 0.500 0.500
```

Mass density: 9.43 g/cm3
ΔH_f (0 K): -535 meV/atom
Magnetic moment: 0.00 Bohr magnetons per cell

---

Entry 6:
Nd5Sm4Ho2 | GGA-PBE | optimized geometry

Cell and atoms, written as POSCAR:
```
Nd5Sm4Ho2
1.0
3.537 0.000 0.000
0.000 9.361 0.000
-1.769 -4.680 11.737
Nd Sm Ho
5 4 2
Direct
0.850 0.054 0.700
0.850 0.646 0.700
0.150 0.354 0.300
0.150 0.946 0.300
0.500 0.000 0.000
0.000 0.303 0.000
0.596 0.596 0.193
0.000 0.697 0.000
0.404 0.404 0.807
0.270 0.270 0.540
0.730 0.730 0.460
```

Mass density: 7.06 g/cm3
ΔH_f (0 K): 221 meV/atom
ΔE to the lowest computed polymorph: 0.90 eV per formula unit
Magnetic moment: 0.00 Bohr magnetons per cell

---

Question: What is the mass density in the fourth record?
Answer: 7.96 g/cm3